Here is a relaxed structure of Y6CdRu2 from Alexandria via LeMat-Bulk. Energies are from PBE.

a = 9.436 Å, b = 9.535 Å, c = 10.493 Å
α = 90.00°, β = 90.00°, γ = 90.00°
Space group Immm (No. 71)
Symmetry-distinct sites (fractional):
Y  0.000  0.202  0.241 [8 per cell]
Y  0.186  0.500  0.172 [8 per cell]
Y  0.216  0.317  0.500 [8 per cell]
Cd  0.000  0.000  0.000 [2 per cell]
Cd  0.000  0.000  0.500 [2 per cell]
Ru  0.000  0.324  0.000 [4 per cell]
Ru  0.000  0.500  0.376 [4 per cell]

Results
**ΔH_f (0 K)**: -0.32 eV/atom
**Volume**: 944.1 Å³/cell
**VASP energy**: -6.79 eV/atom

Here is a relaxed structure of Sm5GePd2 from Alexandria via LeMat-Bulk. Energies are from PBE.

a = 7.898 Å, b = 7.898 Å, c = 13.400 Å
α = 90.00°, β = 90.00°, γ = 90.00°
Space group I4/mcm (No. 140)
Symmetry-distinct sites (fractional):
Sm  0.000  0.000  0.000 [4 per cell]
Sm  0.161  0.339  0.146 [16 per cell]
Ge  0.000  0.000  0.250 [4 per cell]
Pd  0.132  0.368  0.500 [8 per cell]

Results
**ΔH_f (0 K)**: -0.63 eV/atom
**Volume**: 835.8 Å³/cell
**VASP energy**: -5.45 eV/atom

Here is a relaxed structure of Sc2Ni3Pd3 from Alexandria via LeMat-Bulk. Energies are from PBE.

a = 3.901 Å, b = 3.905 Å, c = 7.649 Å
α = 90.00°, β = 90.00°, γ = 90.00°
Space group Pmmm (No. 47)
Symmetry-distinct sites (fractional):
Sc  0.000  0.000  0.245 [2 per cell]
Ni  0.000  0.500  0.000 [1 per cell]
Ni  0.500  0.500  0.242 [2 per cell]
Pd  0.000  0.500  0.500 [1 per cell]
Pd  0.500  0.000  0.000 [1 per cell]
Pd  0.500  0.000  0.500 [1 per cell]

Results
**ΔH_f (0 K)**: -0.59 eV/atom
**Volume**: 116.5 Å³/cell
**VASP energy**: -6.29 eV/atom

Here is a relaxed structure of Pm2SmU2Ru5 from Alexandria via LeMat-Bulk. Energies are from PBE.

a = 10.807 Å, b = 10.807 Å, c = 3.605 Å
α = 90.00°, β = 90.00°, γ = 90.00°
Space group P4/mbm (No. 127)
Symmetry-distinct sites (fractional):
Pm  0.176  0.324  0.000 [4 per cell]
Sm  0.000  0.000  0.000 [2 per cell]
U  0.134  0.634  0.000 [4 per cell]
Ru  0.000  0.500  0.500 [2 per cell]
Ru  0.051  0.782  0.500 [8 per cell]

Results
**ΔH_f (0 K)**: -0.22 eV/atom
**Volume**: 421.0 Å³/cell
**VASP energy**: -8.54 eV/atom

Here is a relaxed structure of PrThInGa from Alexandria via LeMat-Bulk. Energies are from PBE.

a = 7.625 Å, b = 7.625 Å, c = 7.625 Å
α = 90.00°, β = 90.00°, γ = 90.00°
Space group F-43m (No. 216)
Symmetry-distinct sites (fractional):
Pr  0.000  0.000  0.000 [4 per cell]
Th  0.000  0.000  0.500 [4 per cell]
In  0.250  0.250  0.250 [4 per cell]
Ga  0.250  0.250  0.750 [4 per cell]

Results
**ΔH_f (0 K)**: -0.35 eV/atom
**Volume**: 443.3 Å³/cell
**VASP energy**: -4.84 eV/atom

Here is a relaxed structure of Zr4Nb from Alexandria via LeMat-Bulk. Energies are from PBE.

a = 5.086 Å, b = 5.086 Å, c = 5.086 Å
α = 90.00°, β = 90.00°, γ = 90.00°
Space group Pm-3m (No. 221)
Symmetry-distinct sites (fractional):
Zr  0.000  0.000  0.000 [1 per cell]
Zr  0.000  0.500  0.500 [3 per cell]
Nb  0.500  0.500  0.500 [1 per cell]

Results
**ΔH_f (0 K)**: 0.82 eV/atom
**Volume**: 131.5 Å³/cell
**VASP energy**: -8.03 eV/atom

Here is a relaxed structure of In2TePb2 from Alexandria via LeMat-Bulk. Energies are from PBE.

a = 4.407 Å, b = 4.407 Å, c = 16.568 Å
α = 90.00°, β = 90.00°, γ = 90.00°
Space group I4/mmm (No. 139)
Symmetry-distinct sites (fractional):
In  0.000  0.000  0.091 [4 per cell]
Te  0.000  0.000  0.500 [2 per cell]
Pb  0.000  0.500  0.250 [4 per cell]

Results
**Energy above the most stable polymorph in this dataset**: 1.30 kcal/mol of atoms
**Volume**: 321.8 Å³/cell
**VASP energy**: -3.12 eV/atom
**Formation energy from raw total energies**: 0.087 eV per atom

Here is a relaxed structure of SrAlZn from Alexandria via LeMat-Bulk. Energies are from PBE.

a = 4.6847 Å, b = 4.6847 Å, c = 4.0698 Å
α = 90.00°, β = 90.00°, γ = 120.00°
Space group P-6m2 (No. 187)
Symmetry-distinct sites (fractional):
Sr  0.0000  0.0000  0.0000 [1 per cell]
Al  0.3333  0.6667  0.5000 [1 per cell]
Zn  0.6667  0.3333  0.5000 [1 per cell]

Results
**ΔH_f (0 K)**: -0.22 eV/atom
**Volume**: 77.4 Å³/cell
**VASP energy**: -2.45 eV/atom

Here is a relaxed structure of TmTl2Ag from Alexandria via LeMat-Bulk. Energies are from PBE.

a = 3.634 Å, b = 3.634 Å, c = 7.372 Å
α = 90.00°, β = 90.00°, γ = 90.00°
Space group P4/mmm (No. 123)
Symmetry-distinct sites (fractional):
Tm  0.000  0.000  0.000 [1 per cell]
Tl  0.500  0.500  0.269 [2 per cell]
Ag  0.000  0.000  0.500 [1 per cell]

Results
**ΔH_f (0 K)**: -0.06 eV/atom
**Volume**: 97.4 Å³/cell
**VASP energy**: -3.07 eV/atom

Here is a relaxed structure of Rb2TaBeBi from Alexandria via LeMat-Bulk. Energies are from PBE.

a = 6.779 Å, b = 6.779 Å, c = 4.736 Å
α = 90.00°, β = 90.00°, γ = 90.00°
Space group P4/mmm (No. 123)
Symmetry-distinct sites (fractional):
Rb  0.000  0.500  0.000 [2 per cell]
Ta  0.000  0.000  0.000 [1 per cell]
Be  0.000  0.000  0.500 [1 per cell]
Bi  0.500  0.500  0.500 [1 per cell]

Results
**Energy above the most stable polymorph in this dataset**: 3.15 kcal/mol of atoms
**ΔH_f (0 K)**: 1.53 eV/atom
**Volume**: 217.7 Å³/cell
**VASP energy**: -2.75 eV/atom

Here is a relaxed structure of LiVSe3 from Alexandria via LeMat-Bulk. Energies are from PBE.

a = 3.860 Å, b = 7.010 Å, c = 11.812 Å
α = 90.00°, β = 90.00°, γ = 90.00°
Space group Amm2 (No. 38)
Symmetry-distinct sites (fractional):
Li  0.000  0.000  0.000 [2 per cell]
V  0.500  0.000  0.559 [2 per cell]
Se  0.000  0.000  0.675 [2 per cell]
Se  0.500  0.246  0.943 [4 per cell]

Results
**Energy above the most stable polymorph in this dataset**: 3.35 kcal/mol of atoms
**Volume**: 319.6 Å³/cell
**VASP energy**: -4.90 eV/atom
**Formation energy from raw total energies**: -0.598 eV per atom

Here is a relaxed structure of La2CeH from Alexandria via LeMat-Bulk. Energies are from PBE.

a = 3.6591 Å, b = 3.6591 Å, c = 26.7053 Å
α = 90.00°, β = 90.00°, γ = 120.00°
Space group R3m (No. 160, hexagonal axes)
Symmetry-distinct sites (fractional):
La  0.0000  0.0000  0.0000 [3 per cell]
La  0.0000  0.0000  0.2175 [3 per cell]
Ce  0.0000  0.0000  0.7739 [3 per cell]
H  0.0000  0.0000  0.6086 [3 per cell]

Results
**Energy above the most stable polymorph in this dataset**: 0.00 kcal/mol of atoms
**Volume**: 309.7 Å³/cell
**VASP energy**: -4.89 eV/atom

Here is a relaxed structure of Pr3Si5S12 from Alexandria via LeMat-Bulk. Energies are from PBE.

a = 15.195 Å, b = 15.195 Å, c = 15.195 Å
α = 90.00°, β = 90.00°, γ = 90.00°
Space group Ia-3d (No. 230)
Symmetry-distinct sites (fractional):
Pr  0.000  0.250  0.125 [24 per cell]
Si  0.000  0.000  0.000 [16 per cell]
Si  0.000  0.250  0.375 [24 per cell]
S  0.035  0.056  0.655 [96 per cell]

Results
**Volume**: 3508.1 Å³/cell
**VASP energy**: -5.53 eV/atom
**Formation energy from raw total energies**: -0.986 eV per atom

Here is a relaxed structure of TaZn3Tc from Alexandria via LeMat-Bulk. Energies are from PBE.

a = 4.916 Å, b = 4.916 Å, c = 4.916 Å
α = 90.00°, β = 90.00°, γ = 90.00°
Space group Pm-3m (No. 221)
Symmetry-distinct sites (fractional):
Ta  0.000  0.000  0.000 [1 per cell]
Zn  0.000  0.000  0.500 [3 per cell]
Tc  0.500  0.500  0.500 [1 per cell]

Results
**Energy above the most stable polymorph in this dataset**: 8.78 kcal/mol of atoms
**ΔH_f (0 K)**: 1.69 eV/atom
**Volume**: 118.8 Å³/cell
**VASP energy**: -3.51 eV/atom

Here is a relaxed structure of Sr3Mg2Ag7 from Alexandria via LeMat-Bulk. Energies are from PBE.

a = 6.0143 Å, b = 6.0143 Å, c = 27.6536 Å
α = 90.00°, β = 90.00°, γ = 120.00°
Space group R-3m (No. 166, hexagonal axes)
Symmetry-distinct sites (fractional):
Sr  0.0000  0.0000  0.0000 [3 per cell]
Sr  0.0000  0.0000  0.1411 [6 per cell]
Mg  0.0000  0.0000  0.3323 [6 per cell]
Ag  0.0000  0.0000  0.5000 [3 per cell]
Ag  0.0002  0.5001  0.0814 [18 per cell]

Results
**ΔH_f (0 K)**: -0.24 eV/atom
**Volume**: 866.3 Å³/cell
**VASP energy**: -2.59 eV/atom

Here is a relaxed structure of CaMg2Ag from Alexandria via LeMat-Bulk. Energies are from PBE.

a = 3.478 Å, b = 3.478 Å, c = 8.093 Å
α = 90.00°, β = 90.00°, γ = 90.00°
Space group P4/mmm (No. 123)
Symmetry-distinct sites (fractional):
Ca  0.000  0.000  0.000 [1 per cell]
Mg  0.500  0.500  0.307 [2 per cell]
Ag  0.000  0.000  0.500 [1 per cell]

Results
**ΔH_f (0 K)**: -0.14 eV/atom
**Volume**: 97.9 Å³/cell
**VASP energy**: -2.15 eV/atom

Here is a relaxed structure of K2BePbBr6 from Alexandria via LeMat-Bulk. Energies are from PBE.

a = 7.7250 Å, b = 7.7250 Å, c = 23.4287 Å
α = 90.00°, β = 90.00°, γ = 120.00°
Space group R3 (No. 146, hexagonal axes)
Symmetry-distinct sites (fractional):
K  0.0000  0.0000  0.0000 [3 per cell]
K  0.0000  0.0000  0.4902 [3 per cell]
Be  0.0000  0.0000  0.2613 [3 per cell]
Pb  0.0000  0.0000  0.7002 [3 per cell]
Br  0.0014  0.6230  0.4276 [9 per cell]
Br  0.0353  0.2874  0.2617 [9 per cell]

Results
**Volume**: 1210.8 Å³/cell
**VASP energy**: -3.21 eV/atom
**Formation energy from raw total energies**: -1.241 eV per atom

Here is a relaxed structure of VGeSb2Te from Alexandria via LeMat-Bulk. Energies are from PBE.

a = 5.255 Å, b = 5.255 Å, c = 5.318 Å
α = 90.00°, β = 90.00°, γ = 90.00°
Space group P4/mmm (No. 123)
Symmetry-distinct sites (fractional):
V  0.000  0.000  0.000 [1 per cell]
Ge  0.500  0.500  0.500 [1 per cell]
Sb  0.000  0.500  0.500 [2 per cell]
Te  0.500  0.500  0.000 [1 per cell]

Results
**Energy above the most stable polymorph in this dataset**: 15.79 kcal/mol of atoms
**Volume**: 146.9 Å³/cell
**VASP energy**: -3.86 eV/atom
**Formation energy from raw total energies**: 1.166 eV per atom

Here is a relaxed structure of HgTeAs2 from Alexandria via LeMat-Bulk. Energies are from PBE.

a = 3.988 Å, b = 3.988 Å, c = 6.648 Å
α = 90.00°, β = 90.00°, γ = 90.00°
Space group P4mm (No. 99)
Symmetry-distinct sites (fractional):
Hg  0.000  0.000  0.000 [1 per cell]
Te  0.500  0.500  0.170 [1 per cell]
As  0.000  0.000  0.602 [1 per cell]
As  0.500  0.500  0.564 [1 per cell]

Results
**Energy above the most stable polymorph in this dataset**: 0.74 kcal/mol of atoms
**Volume**: 105.7 Å³/cell
**VASP energy**: -3.06 eV/atom
**Formation energy from raw total energies**: 0.121 eV per atom

Here is a relaxed structure of YSe2BrN from Alexandria via LeMat-Bulk. Energies are from PBE.

a = 5.578 Å, b = 5.578 Å, c = 5.648 Å
α = 90.00°, β = 90.00°, γ = 90.00°
Space group P4/mmm (No. 123)
Symmetry-distinct sites (fractional):
Y  0.000  0.000  0.000 [1 per cell]
Se  0.000  0.500  0.000 [2 per cell]
Br  0.000  0.000  0.500 [1 per cell]
N  0.500  0.500  0.500 [1 per cell]

Results
**Energy above the most stable polymorph in this dataset**: 9.91 kcal/mol of atoms
**Volume**: 175.7 Å³/cell
**VASP energy**: -4.30 eV/atom
**Formation energy from raw total energies**: 0.388 eV per atom

Here is a relaxed structure of Na2PtI5 from Alexandria via LeMat-Bulk. Energies are from PBE.

a = 15.165 Å, b = 7.452 Å, c = 11.368 Å
α = 90.00°, β = 113.82°, γ = 90.00°
Space group Cc (No. 9)
Symmetry-distinct sites (fractional):
Na  0.000  0.001  0.000 [4 per cell]
Na  0.234  0.001  0.970 [4 per cell]
Pt  0.118  0.500  0.235 [4 per cell]
I  0.025  0.202  0.756 [4 per cell]
I  0.118  0.372  0.485 [4 per cell]
I  0.210  0.202  0.214 [4 per cell]
I  0.289  0.335  0.850 [4 per cell]
I  0.447  0.165  0.620 [4 per cell]

Results
**Volume**: 1175.3 Å³/cell
**VASP energy**: -2.68 eV/atom
**Formation energy from raw total energies**: -0.630 eV per atom